No. 1
VASP calculation (PBE) on a geometry-optimized KYMgO3 structure.

The density of states at the Fermi level comes out at 0.000 states/eV/cell. The total moment comes out at 0.000 μB per atom. The energy relative to the elements, uncorrected comes out at -2.58 eV/atom.

a = 3.5520 Å, b = 7.2662 Å, c = 9.7060 Å
α = 112.19°, β = 90.00°, γ = 90.00°
Atoms (fractional coordinates):
K: 0.7500 0.8035 0.8415
K: 0.2500 0.1965 0.1585
Y: 0.2500 0.6755 0.1405
Y: 0.7500 0.3245 0.8595
Mg: 0.2500 0.0407 0.6137
Mg: 0.7500 0.9593 0.3863
O: 0.2500 0.8469 0.4017
O: 0.7500 0.9012 0.1688
O: 0.7500 0.4603 0.1115
O: 0.7500 0.1531 0.5983
O: 0.2500 0.5397 0.8885
O: 0.2500 0.0988 0.8312

***

No. 2
VASP calculation (PBE) on a geometry-optimized K2MgZn2O4 structure.

The density of states at the Fermi level comes out at 0.000 states/eV/cell. The total moment comes out at 0.000 μB per atom. The energy relative to the elements, uncorrected comes out at -1.58 eV/atom.

a = 3.2680 Å, b = 6.3068 Å, c = 6.9387 Å
α = 107.18°, β = 103.62°, γ = 90.00°
Atoms (fractional coordinates):
K: 0.1235 0.5232 0.2469
K: 0.8765 0.4768 0.7531
Mg: 0.0000 0.0000 0.0000
Zn: 0.6691 0.9944 0.3381
Zn: 0.3309 0.0056 0.6619
O: 0.2156 0.1787 0.4311
O: 0.7844 0.8213 0.5689
O: 0.5251 0.8043 0.0503
O: 0.4749 0.1957 0.9497

***

No. 3
VASP calculation (PBE) on a geometry-optimized KMgZnO2 structure.

The density of states at the Fermi level comes out at 2.129 states/eV/cell. The total moment comes out at 0.000 μB per atom. The energy relative to the elements, uncorrected comes out at -1.45 eV/atom.

a = 5.7638 Å, b = 6.9259 Å, c = 5.8498 Å
α = 74.83°, β = 90.00°, γ = 90.00°
Atoms (fractional coordinates):
K: 0.2468 0.5000 0.7500
K: 0.7532 0.5000 0.2500
Mg: 0.4962 0.0000 0.2500
Mg: 0.5038 0.0000 0.7500
Zn: 0.0000 0.0000 0.0000
Zn: 0.0000 0.0000 0.5000
O: 0.7034 0.8848 0.0380
O: 0.7034 0.1152 0.4620
O: 0.2965 0.8848 0.5380
O: 0.2965 0.1152 0.9620

***

No. 4
VASP calculation (PBE) on a geometry-optimized KMgOs2 structure.

The density of states at the Fermi level comes out at 3.565 states/eV/cell. The total moment comes out at 0.000 μB per atom. As for the formation energy: 1.287 eV/atom.

a = 4.8936 Å, b = 3.8449 Å, c = 3.8449 Å
α = 90.00°, β = 90.00°, γ = 90.00°
Atoms (fractional coordinates):
K: 0.5000 0.5000 0.0000
Mg: 0.5000 0.0000 0.5000
Os: 0.0000 0.0000 0.0000
Os: 0.0000 0.5000 0.5000

***

No. 5
VASP calculation (PBE) on a geometry-optimized K2MgOs structure.

The density of states at the Fermi level comes out at 2.403 states/eV/cell. The total moment comes out at 0.000 μB per atom. As for the formation energy: 1.095 eV/atom.

a = 6.6496 Å, b = 6.6496 Å, c = 2.8847 Å
α = 79.92°, β = 79.92°, γ = 126.46°
Atoms (fractional coordinates):
K: 0.0000 0.0000 0.0000
K: 0.5000 0.5000 0.0000
Mg: 0.5000 0.0000 0.5000
Os: 0.0000 0.5000 0.5000

***

No. 6
VASP calculation (PBE) on a geometry-optimized K2MgOs structure.

The density of states at the Fermi level comes out at 3.366 states/eV/cell. The total moment comes out at 0.000 μB per atom. As for the formation energy: 0.910 eV/atom.

a = 7.9639 Å, b = 7.9639 Å, c = 7.9639 Å
α = 159.79°, β = 134.25°, γ = 50.49°
Atoms (fractional coordinates):
K: 0.0577 0.0577 0.0000
K: 0.7485 0.2485 0.5000
Mg: 0.4251 0.4251 0.0000
Os: 0.2687 0.7687 0.5000

***

No. 7
VASP calculation (PBE) on a geometry-optimized KMgOs2 structure.

The density of states at the Fermi level comes out at 3.675 states/eV/cell. The total moment comes out at 0.000 μB per atom. As for the formation energy: 1.010 eV/atom.

a = 6.3693 Å, b = 6.3693 Å, c = 6.3693 Å
α = 155.18°, β = 128.69°, γ = 57.81°
Atoms (fractional coordinates):
K: 0.5131 0.5131 0.0000
Mg: 0.2091 0.7091 0.5000
Os: 0.9822 0.9822 0.0000
Os: 0.7956 0.2956 0.5000

***

No. 8
VASP calculation (PBE) on a geometry-optimized KMgOs2 structure.

The density of states at the Fermi level comes out at 2.579 states/eV/cell. The total moment comes out at 0.000 μB per atom. As for the formation energy: 0.602 eV/atom.

a = 4.4341 Å, b = 4.4341 Å, c = 7.9164 Å
α = 86.52°, β = 86.52°, γ = 37.17°
Atoms (fractional coordinates):
K: 0.4942 0.4942 0.5329
Mg: 0.2690 0.2690 0.1599
Os: 0.9992 0.9992 0.9565
Os: 0.7376 0.7376 0.8508